Material: PmScMn2O6
Method: DFT, GGA+U
State: optimized geometry

It has space group R3 (No. 146, hexagonal axes), with a = 5.4035 Å, b = 5.4035 Å, c = 14.2004 Å, α = 90.00°, β = 90.00° and γ = 120.00°. Symmetry generates all atoms from Pm at (0.0000, 0.0000, 0.0000), Sc at (0.0000, 0.0000, 0.4786), Mn at (0.0000, 0.0000, 0.2665), Mn at (0.0000, 0.0000, 0.7785), O at (0.0090, 0.5910, 0.0392) and O at (0.0188, 0.3041, 0.8634).

The value obtained for the electronic total energy is -242.33 eV for the cell shown. For the volume, the calculation gives 120 Å³/f.u.